Record 1
Material: Sm12DyY3
Method: DFT, GGA-PBE
State: relaxed

It has space group P4/mmm (No. 123), with a = 5.1099 Å, b = 5.1099 Å, c = 20.4081 Å, α = 90.00°, β = 90.00° and γ = 90.00°. The asymmetric unit holds Sm at (0.0000, 0.0000, 0.0000), Sm at (0.0000, 0.0000, 0.2496), Sm at (0.0000, 0.0000, 0.5000), Sm at (0.0000, 0.5000, 0.1245), Sm at (0.0000, 0.5000, 0.3748), Dy at (0.5000, 0.5000, 0.0000), Y at (0.5000, 0.5000, 0.2497) and Y at (0.5000, 0.5000, 0.5000).

For the formation energy, the calculation gives 0.02 eV per atom. The value obtained for the density of states at the Fermi level is 23.81 states/eV/f.u.


Record 2
Material: Sm4DyY
Method: DFT, GGA-PBE
State: relaxed

It has space group P-1 (No. 2), with a = 3.6004 Å, b = 6.2404 Å, c = 9.5378 Å, α = 77.39°, β = 79.23° and γ = 73.49°. The asymmetric unit holds Sm at (0.1661, 0.9995, 0.1675), Sm at (0.1661, 0.5012, 0.6659), Dy at (0.5000, 0.0000, 0.5000) and Y at (0.5000, 0.5000, 0.0000).

For the formation energy, the calculation gives 0.02 eV per atom. The value obtained for the density of states at the Fermi level is 8.63 states/eV/f.u.


The lowest density of states at the Fermi level belongs to which entry?
Sm4DyY


What is the density of states at the Fermi level in the first record?
23.81 states/eV/f.u.